Compound: BaMnAgF6
Source: Alexandria
Functional: PBE with a Hubbard U
Structure: relaxed

Unit cell a=6.079 b=5.870 c=5.348 alpha=89.08 beta=88.21 gamma=58.79
Last column: magnetic moment on the atom in μB.
Fractional coordinates of all 9 atoms:
Ba1 0.995 0.010 0.000  0.00
Mn1 0.332 0.336 0.500  3.87
Ag1 0.674 0.651 0.500  -0.07
F1 0.050 0.332 0.277  0.04
F2 0.333 0.064 0.703  -0.01
F3 0.619 0.331 0.722  0.04
F4 0.067 0.607 0.707  -0.01
F5 0.327 0.606 0.292  -0.01
F6 0.603 0.063 0.297  -0.02

Summary:
* ρ: 4.22 g/cm³
* DFT total energy: -5.217 eV/atom